# TbPuMn2O8 | Alexandria | PBE with a Hubbard U | optimized geometry
# Calculated density: 6.51 g/cm3
# Total magnetic moment: 9.0 μB per cell
# Energy: -8.224 eV per atom
data_TbPuMn2O8
_cell_length_a 5.9671
_cell_length_b 5.9671
_cell_length_c 5.9671
_cell_angle_alpha 108.24
_cell_angle_beta 108.24
_cell_angle_gamma 111.96
_symmetry_space_group_name_H-M 'P 1'
_symmetry_Int_Tables_number 1
loop_
_symmetry_equiv_pos_as_xyz
'x,y,z'
loop_
_atom_site_label
_atom_site_type_symbol
_atom_site_fract_x
_atom_site_fract_y
_atom_site_fract_z
Tb1 Tb 0.0000 0.0000 0.0000
Pu1 Pu 0.2500 0.7500 0.5000
Mn1 Mn 0.7500 0.2500 0.5000
Mn2 Mn 0.5000 0.5000 0.0000
O1 O 0.3971 0.0794 0.3176
O2 O 0.2930 0.5003 0.2073
O3 O 0.2930 0.0857 0.7927
O4 O 0.7618 0.0794 0.6824
O5 O 0.9143 0.7070 0.2073
O6 O 0.9206 0.2382 0.3176
O7 O 0.9206 0.6029 0.6824
O8 O 0.4997 0.7070 0.7927